Compound: Th3Ni8Ag
Source: Alexandria
Functional: PBE
Structure: relaxed

Geometry as extended XYZ:
```
12
Lattice="-3.208 3.821 1.011 -0.859 1.395 4.820 5.046 7.233 1.495" Properties=species:S:1:pos:R:3 pbc="T T T"
Th 2.800 8.207 3.501
Th 0.324 6.082 3.675
Th -3.858 5.395 5.817
Ni 1.258 7.945 5.990
Ni 1.436 4.135 1.748
Ni 1.926 10.359 5.411
Ni -0.350 9.860 6.497
Ni -2.463 5.557 3.330
Ni -0.833 3.615 2.817
Ni 0.080 9.161 4.082
Ni -1.269 4.324 5.266
Ag -1.553 7.373 5.655
```

## Properties
Uncorrected energy = -6.329 eV per atom
Symmetry = R3m, No. 160
Total moment = 0.00 μB per formula unit
Formation energy from the elements = -0.382 eV/atom
Mass density = 11.2 g/cm3